{"formula": "ScPdSN2", "functional": "PBE", "state": "optimized geometry", "relative_energy_ev_per_atom": 0.000, "raw_formation_energy_ev_per_atom": 0.64, "cell": [[3.954, 0.000, 0.000], [0.000, 3.954, 0.000], [0.000, 0.000, 4.756]], "species": ["Sc", "S", "Pd", "N", "N"], "fractional_positions": [[0.500, 0.500, 0.500], [0.000, 0.000, 0.500], [0.000, 0.000, 0.000], [0.000, 0.500, 0.000], [0.500, 0.000, 0.000]]}